(1)
Entry from Alexandria: crystalline Tb5Ho3Th at its relaxed geometry (PBE).

The space-group type is I4/mcm. As for the energy of formation from the pure elements: 317 meV per atom. The value obtained for the density of states at the Fermi level is 1.461 states/eV/atom.

Lattice parameters (Å, degrees): 7.816 7.816 11.075 110.66 110.66 90.00
Sites, in units of the cell vectors:
Tb 0.074 0.574 0.738
Ho 0.870 0.630 0.000
Tb 0.926 0.426 0.262
Ho 0.130 0.370 0.000
Tb 0.574 0.664 0.738
Tb 0.500 0.500 0.000
Th 0.250 0.750 0.500
Tb 0.164 0.074 0.738
Th 0.750 0.250 0.500
Tb 0.426 0.336 0.262
Ho 0.750 0.750 0.500
Ho 0.630 0.130 0.000
Tb 0.664 0.164 0.738
Tb 0.836 0.926 0.262
Ho 0.370 0.870 0.000
Tb 0.000 0.000 0.000
Ho 0.250 0.250 0.500
Tb 0.336 0.836 0.262



(2)
Entry from Alexandria: crystalline GaRe2TcBr at its relaxed geometry (PBE).

The space-group type is P4/mmm. The value obtained for the density of states at the Fermi level is 1.192 states/eV/atom. The calculated total energy comes out at -6.168 eV/atom.

Lattice parameters (Å, degrees): 4.760 5.279 4.760 90.00 90.00 90.00
Each line ends with the local moment (μB).
Sites, in units of the cell vectors:
Re 0.000 0.000 0.500  1.40
Ga 0.500 0.500 0.500  0.01
Br 0.000 0.500 0.000  0.10
Re 0.500 0.000 0.000  1.50
Tc 0.000 0.000 0.000  -0.26



(3)
Entry from Alexandria: crystalline LiTbPrTm at its relaxed geometry (PBE).

The space-group type is F-43m. As for the energy of formation from the pure elements: 156 meV per atom. The value obtained for the density of states at the Fermi level is 1.059 states/eV/atom.

Lattice parameters (Å, degrees): 5.530 5.530 5.530 60.00 60.00 60.00
Sites, in units of the cell vectors:
Pr 0.750 0.750 0.750
Li 0.000 0.000 0.000
Tm 0.500 0.500 0.500
Tb 0.250 0.250 0.250



(4)
Entry from Alexandria: crystalline Th4Hg2O at its relaxed geometry (PBE).

The space-group type is I4/mmm. The value obtained for the density of states at the Fermi level is 1.279 states/eV/atom. The calculated total energy comes out at -5.764 eV/atom.

Lattice parameters (Å, degrees): 4.821 4.821 8.900 105.72 105.72 90.00
Sites, in units of the cell vectors:
Th 0.172 0.172 0.345
Hg 0.640 0.640 0.280
Th 0.000 0.500 0.000
O 0.000 0.000 0.000
Th 0.500 0.000 0.000
Hg 0.360 0.360 0.720
Th 0.828 0.828 0.655



(5)
Entry from Alexandria: crystalline CrGe3P at its relaxed geometry (PBE).

The space-group type is Pm-3m. As for the energy of formation from the pure elements: 1259 meV per atom. The value obtained for the density of states at the Fermi level is 1.219 states/eV/atom.

Lattice parameters (Å, degrees): 4.645 4.645 4.645 90.00 90.00 90.00
Sites, in units of the cell vectors:
Cr 0.500 0.500 0.500
Ge 0.000 0.000 0.500
Ge 0.000 0.500 0.000
P 0.000 0.000 0.000
Ge 0.500 0.000 0.000



(6)
Entry from Alexandria: crystalline ZrBe2Pd3 at its relaxed geometry (PBE).

The space-group type is P4/mmm. As for the energy of formation from the pure elements: -569 meV per atom. The value obtained for the density of states at the Fermi level is 0.437 states/eV/atom.

Lattice parameters (Å, degrees): 2.861 2.861 9.983 90.00 90.00 90.00
Sites, in units of the cell vectors:
Pd 0.000 0.000 0.717
Be 0.500 0.500 0.146
Pd 0.000 0.000 0.283
Be 0.500 0.500 0.854
Pd 0.000 0.000 0.000
Zr 0.500 0.500 0.500